CePu3Ru4 | PBE | optimized geometry

Calculated values
- formation energy from the elements (eV/atom) = -0.18
- M_tot (Bohr magnetons per cell) = 26.96

abc: 4.788 4.788 13.713
angles: 90.00 90.00 90.00
Fractional positions:
1 Ce 0.000 0.000 0.000
2 Ce 0.500 0.500 0.500
3 Pu 0.000 0.000 0.248
4 Pu 0.000 0.000 0.500
5 Pu 0.000 0.000 0.752
6 Pu 0.500 0.500 0.000
7 Pu 0.500 0.500 0.252
8 Pu 0.500 0.500 0.748
9 Ru 0.000 0.500 0.128
10 Ru 0.000 0.500 0.372
11 Ru 0.000 0.500 0.628
12 Ru 0.000 0.500 0.872
13 Ru 0.500 0.000 0.128
14 Ru 0.500 0.000 0.372
15 Ru 0.500 0.000 0.628
16 Ru 0.500 0.000 0.872

***

CePuRu4 | PBE | optimized geometry

Calculated values
- formation energy from the elements (eV/atom) = -0.20
- M_tot (Bohr magnetons per cell) = 3.57

abc: 5.340 5.340 5.340
angles: 60.00 60.00 60.00
Fractional positions:
1 Ce 0.000 0.000 0.000
2 Pu 0.750 0.750 0.750
3 Ru 0.375 0.375 0.375
4 Ru 0.375 0.375 0.874
5 Ru 0.375 0.874 0.375
6 Ru 0.874 0.375 0.375

***

Ce12PuRu7 | PBE | optimized geometry

Calculated values
- energy above the most stable polymorph in this dataset (eV per atom) = 0.040
- formation energy from the elements (eV/atom) = -0.16
- M_tot (Bohr magnetons per cell) = 1.00

abc: 8.660 8.660 8.660
angles: 107.04 107.04 107.04
Fractional positions:
1 Ce 0.028 0.344 0.115
2 Ce 0.115 0.028 0.344
3 Ce 0.192 0.732 0.576
4 Ce 0.268 0.424 0.808
5 Ce 0.344 0.115 0.028
6 Ce 0.424 0.808 0.268
7 Ce 0.576 0.192 0.732
8 Ce 0.656 0.885 0.972
9 Ce 0.732 0.576 0.192
10 Ce 0.808 0.268 0.424
11 Ce 0.885 0.972 0.656
12 Ce 0.972 0.656 0.885
13 Pu 0.500 0.500 0.500
14 Ru 0.000 0.000 0.000
15 Ru 0.134 0.362 0.478
16 Ru 0.362 0.478 0.134
17 Ru 0.478 0.134 0.362
18 Ru 0.522 0.866 0.638
19 Ru 0.638 0.522 0.866
20 Ru 0.866 0.638 0.522